DFT (PBE-GGA) results for a geometry-optimized La2NdAl2Zn2 structure.

Summary:
SG = R-3m
energy relative to the elements = -339 meV per atom
DFT total energy = -3.861 eV per atom

a b c (Å): 4.5220 4.5220 9.8415
angles (deg): 76.72 76.72 60.00
With the nearest neighbours (Å) after each atom.
Element x y z (fractional)
Al1 0.7364 0.7364 0.7907  3 Zn 2.61
Zn1 0.4020 0.4020 0.7941  3 Al 2.61
Zn2 0.5980 0.5980 0.2059  3 Al 2.61
La1 0.8632 0.8632 0.4104  3 La 3.12, 3 Al 3.23, 3 Zn 3.25
Al2 0.2636 0.2636 0.2093  3 Zn 2.61
La2 0.1368 0.1368 0.5896  3 La 3.12, 3 Al 3.23, 3 Zn 3.25
Nd1 0.0000 0.0000 0.0000  6 Zn 3.26, 6 Al 3.28